Entry 1:
Density functional theory data (PBE) for a relaxed structure of NaSb2Rh.

Values from the calculation:
- crystal system = tetragonal
- electronic total energy (Ry per atom) = -0.334
- density of states at the Fermi level (states/eV per atom) = 0.30
- ΔE_f (raw) (meV/atom) = -320
- size of the total moment (μB/cell) = 0.00

Cell lengths 3.290, 3.290, 8.207 Å; angles 90.00, 90.00, 90.00 degrees
Fractional positions:
Na 0.500 0.500 0.500
Sb 0.000 0.000 0.801
Sb 0.000 0.000 0.199
Rh 0.500 0.500 0.000

=====

Entry 2:
Density functional theory data (PBE) for a relaxed structure of Na2SbRh2.

Values from the calculation:
- crystal system = tetragonal
- electronic total energy (Ry per atom) = -0.328
- density of states at the Fermi level (states/eV per atom) = 0.49
- ΔE_f (raw) (meV/atom) = -168
- size of the total moment (μB/cell) = 0.00

Cell lengths 6.538, 6.538, 4.961 Å; angles 90.00, 90.00, 90.00 degrees
Fractional positions:
Sb 0.500 0.500 0.000
Sb 0.000 0.000 0.000
Rh 0.638 0.138 0.000
Rh 0.138 0.362 0.000
Rh 0.862 0.638 0.000
Rh 0.362 0.862 0.000
Na 0.668 0.832 0.500
Na 0.332 0.168 0.500
Na 0.168 0.668 0.500
Na 0.832 0.332 0.500

=====

Entry 3:
Density functional theory data (PBE) for a relaxed structure of NaSbRh3.

Values from the calculation:
- crystal system = cubic
- electronic total energy (Ry per atom) = -0.312
- density of states at the Fermi level (states/eV per atom) = 0.95
- ΔE_f (raw) (meV/atom) = 1260
- size of the total moment (μB/cell) = 0.72

Cell lengths 4.514, 4.514, 4.514 Å; angles 90.00, 90.00, 90.00 degrees
Fractional positions:
Na 0.000 0.000 0.000
Rh 0.000 0.500 0.000
Rh 0.500 0.000 0.000
Rh 0.000 0.000 0.500
Sb 0.500 0.500 0.500

=====

Entry 4:
Density functional theory data (PBE) for a relaxed structure of NaSb2Rh.

Values from the calculation:
- crystal system = trigonal
- electronic total energy (Ry per atom) = -0.336
- density of states at the Fermi level (states/eV per atom) = 0.43
- ΔE_f (raw) (meV/atom) = -347
- size of the total moment (μB/cell) = 0.00

Cell lengths 4.151, 4.151, 7.246 Å; angles 73.36, 73.36, 60.00 degrees
Fractional positions:
Sb 0.058 0.058 0.826
Sb 0.275 0.275 0.174
Rh 0.666 0.666 0.001
Na 0.501 0.501 0.498

=====

Entry 5:
Density functional theory data (PBE) for a relaxed structure of NaSmSbRh.

Values from the calculation:
- crystal system = cubic
- electronic total energy (Ry per atom) = -0.366
- ΔE_f (raw) (meV/atom) = -595
- size of the total moment (μB/cell) = 0.00

Cell lengths 4.882, 4.882, 4.882 Å; angles 60.00, 60.00, 60.00 degrees
Fractional positions:
Sb 0.000 0.000 0.000
Na 0.750 0.750 0.750
Rh 0.250 0.250 0.250
Sm 0.500 0.500 0.500

=====

Entry 6:
Density functional theory data (PBE) for a relaxed structure of NaSr2Sb3Rh4.

Values from the calculation:
- crystal system = tetragonal
- electronic total energy (Ry per atom) = -0.385
- density of states at the Fermi level (states/eV per atom) = 0.67
- ΔE_f (raw) (meV/atom) = -594
- size of the total moment (μB/cell) = 0.00

Cell lengths 4.422, 4.422, 11.336 Å; angles 90.00, 90.00, 90.00 degrees
Fractional positions:
Sb 0.500 0.000 0.871
Sb 0.000 0.500 0.129
Sb 0.000 0.000 0.500
Rh 0.000 0.000 0.000
Rh 0.500 0.500 0.000
Rh 0.500 0.000 0.643
Rh 0.000 0.500 0.357
Na 0.500 0.500 0.500
Sr 0.500 0.000 0.254
Sr 0.000 0.500 0.746